(1)
This record from Alexandria describes a geometry-optimized ZnCd2Ir2 structure. The functional is PBE.

a b c (Å): 6.484 6.484 4.293
angles (deg): 90.00 90.00 90.00
Element x y z (fractional)
Zn (0.000, 0.000, 0.000)
Zn (0.500, 0.500, 0.000)
Cd (0.168, 0.332, 0.500)
Cd (0.332, 0.832, 0.500)
Cd (0.668, 0.168, 0.500)
Cd (0.832, 0.668, 0.500)
Ir (0.137, 0.637, 0.000)
Ir (0.363, 0.137, 0.000)
Ir (0.637, 0.863, 0.000)
Ir (0.863, 0.363, 0.000)

## Properties
space-group type	No. 127
energy relative to the elements	41	meV/atom
total energy	-41.24	eV/cell

***

(2)
This record from Alexandria describes a geometry-optimized ZnCdIr2 structure. The functional is PBE.

a b c (Å): 4.864 4.864 4.864
angles (deg): 131.65 131.65 70.78
Element x y z (fractional)
Zn (0.000, 0.000, 0.000)
Cd (0.500, 0.500, 0.000)
Ir (0.250, 0.750, 0.500)
Ir (0.750, 0.250, 0.500)

## Properties
space-group type	No. 139
energy relative to the elements	177	meV/atom
total energy	-19.20	eV/cell

***

(3)
This record from Alexandria describes a geometry-optimized ZnCdIr structure. The functional is PBE.

a b c (Å): 4.369 4.369 4.369
angles (deg): 60.00 60.00 60.00
Element x y z (fractional)
Zn (0.000, 0.000, 0.000)
Cd (0.500, 0.500, 0.500)
Ir (0.750, 0.750, 0.750)

## Properties
polymorph energy (0 for the lowest one)	302.0	meV per atom
space-group type	No. 216
energy relative to the elements	237	meV/atom
total energy	-10.34	eV/cell

***

(4)
This record from Alexandria describes a geometry-optimized ZnCdIr structure. The functional is PBE.

a b c (Å): 4.398 4.398 2.975
angles (deg): 90.00 90.00 120.00
Element x y z (fractional)
Zn (0.000, 0.000, 0.000)
Cd (0.333, 0.667, 0.508)
Ir (0.667, 0.333, 0.009)

## Properties
polymorph energy (0 for the lowest one)	108.0	meV per atom
space-group type	No. 156
energy relative to the elements	43	meV/atom
total energy	-10.92	eV/cell

***

(5)
This record from Alexandria describes a geometry-optimized ZnCdIr2 structure. The functional is PBE.

a b c (Å): 9.351 9.351 9.351
angles (deg): 17.39 17.39 17.39
Element x y z (fractional)
Zn (0.000, 0.000, 0.000)
Cd (0.242, 0.242, 0.242)
Ir (0.487, 0.487, 0.487)
Ir (0.744, 0.744, 0.744)

## Properties
space-group type	No. 160
energy relative to the elements	113	meV/atom
total energy	-19.46	eV/cell

***

(6)
This record from Alexandria describes a geometry-optimized ZnCdIr2 structure. The functional is PBE.

a b c (Å): 2.800 2.800 9.041
angles (deg): 90.00 90.00 117.40
Element x y z (fractional)
Zn (0.000, 0.000, 0.000)
Cd (0.000, 0.000, 0.500)
Ir (0.500, 0.500, 0.233)
Ir (0.500, 0.500, 0.767)

## Properties
space-group type	No. 65
energy relative to the elements	107	meV/atom
total energy	-19.48	eV/cell

***

(7)
This record from Alexandria describes a geometry-optimized ZnCdIr2 structure. The functional is PBE.

a b c (Å): 2.816 4.261 5.433
angles (deg): 90.00 104.54 90.00
Element x y z (fractional)
Zn (0.000, 0.000, 0.000)
Cd (0.000, 0.000, 0.500)
Ir (0.370, 0.500, 0.225)
Ir (0.630, 0.500, 0.775)

## Properties
space-group type	No. 10
energy relative to the elements	59	meV/atom
total energy	-19.68	eV/cell

***

(8)
This record from Alexandria describes a geometry-optimized Zn3CdIr structure. The functional is PBE.

a b c (Å): 4.827 4.827 4.827
angles (deg): 90.00 90.00 90.00
Element x y z (fractional)
Zn (0.000, 0.000, 0.500)
Zn (0.000, 0.500, 0.000)
Zn (0.500, 0.000, 0.000)
Cd (0.500, 0.500, 0.500)
Ir (0.000, 0.000, 0.000)

## Properties
polymorph energy (0 for the lowest one)	0.0	meV per atom
space-group type	No. 221
energy relative to the elements	226	meV/atom
total energy	-12.47	eV/cell

***

(9)
This record from Alexandria describes a geometry-optimized ZnCdIr2 structure. The functional is PBE.

a b c (Å): 2.899 4.577 4.750
angles (deg): 90.00 90.00 90.00
Element x y z (fractional)
Zn (0.000, 0.000, 0.000)
Cd (0.500, 0.000, 0.500)
Ir (0.000, 0.500, 0.500)
Ir (0.500, 0.500, 0.000)

## Properties
space-group type	No. 47
energy relative to the elements	149	meV/atom
total energy	-19.32	eV/cell

***

(10)
This record from Alexandria describes a geometry-optimized ZnCdIr2 structure. The functional is PBE.

a b c (Å): 8.986 8.986 8.986
angles (deg): 18.30 18.30 18.30
Element x y z (fractional)
Zn (0.000, 0.000, 0.000)
Cd (0.500, 0.500, 0.500)
Ir (0.256, 0.256, 0.256)
Ir (0.744, 0.744, 0.744)

## Properties
space-group type	No. 166
energy relative to the elements	74	meV/atom
total energy	-19.61	eV/cell

***

(11)
This record from Alexandria describes a geometry-optimized ZnCdIr2 structure. The functional is PBE.

a b c (Å): 2.797 3.843 5.901
angles (deg): 90.00 90.10 90.00
Element x y z (fractional)
Zn (0.000, 0.000, 0.000)
Cd (0.499, 0.500, 0.278)
Ir (0.500, 0.500, 0.781)
Ir (0.999, 0.000, 0.552)

## Properties
space-group type	No. 6
energy relative to the elements	106	meV/atom
total energy	-19.49	eV/cell

***

(12)
This record from Alexandria describes a geometry-optimized ZnCdIr structure. The functional is PBE.

a b c (Å): 9.289 9.289 2.851
angles (deg): 90.00 90.00 153.50
Element x y z (fractional)
Zn (0.076, 0.924, 0.750)
Zn (0.924, 0.076, 0.250)
Cd (0.301, 0.699, 0.250)
Cd (0.699, 0.301, 0.750)
Ir (0.439, 0.561, 0.750)
Ir (0.561, 0.439, 0.250)

## Properties
polymorph energy (0 for the lowest one)	0.0	meV per atom
space-group type	No. 63
energy relative to the elements	-65	meV/atom
total energy	-22.49	eV/cell

***

(13)
This record from Alexandria describes a geometry-optimized ZnCdIr2 structure. The functional is PBE.

a b c (Å): 4.800 4.800 4.800
angles (deg): 130.23 130.23 73.04
Element x y z (fractional)
Zn (0.000, 0.000, 0.000)
Cd (0.250, 0.750, 0.500)
Ir (0.500, 0.500, 0.000)
Ir (0.750, 0.250, 0.500)

## Properties
space-group type	No. 119
energy relative to the elements	203	meV/atom
total energy	-19.10	eV/cell

***

(14)
This record from Alexandria describes a geometry-optimized ZnCdIr3 structure. The functional is PBE.

a b c (Å): 4.556 4.556 4.556
angles (deg): 90.00 90.00 90.00
Element x y z (fractional)
Zn (0.000, 0.000, 0.000)
Cd (0.500, 0.500, 0.500)
Ir (0.000, 0.000, 0.500)
Ir (0.000, 0.500, 0.000)
Ir (0.500, 0.000, 0.000)

## Properties
polymorph energy (0 for the lowest one)	0.0	meV per atom
space-group type	No. 221
energy relative to the elements	1308	meV/atom
total energy	-22.23	eV/cell

***

(15)
This record from Alexandria describes a geometry-optimized ZrCdIr2 structure. The functional is PBE.

a b c (Å): 4.634 4.634 4.634
angles (deg): 60.00 60.00 60.00
Element x y z (fractional)
Zr (0.000, 0.000, 0.000)
Cd (0.750, 0.750, 0.750)
Ir (0.250, 0.250, 0.250)
Ir (0.500, 0.500, 0.500)

## Properties
space-group type	No. 216
energy relative to the elements	-13	meV/atom
total energy	-27.24	eV/cell

***

(16)
This record from Alexandria describes a geometry-optimized ZrCdIr2 structure. The functional is PBE.

a b c (Å): 2.885 2.885 8.465
angles (deg): 90.00 90.00 90.00
Element x y z (fractional)
Zr (0.000, 0.000, 0.000)
Cd (0.500, 0.500, 0.296)
Ir (0.000, 0.000, 0.542)
Ir (0.500, 0.500, 0.754)

## Properties
space-group type	No. 99
energy relative to the elements	-59	meV/atom
total energy	-27.42	eV/cell

***

(17)
This record from Alexandria describes a geometry-optimized ZrCd2Ir structure. The functional is PBE.

a b c (Å): 3.036 4.933 5.275
angles (deg): 90.00 101.49 90.00
Element x y z (fractional)
Zr (0.000, 0.000, 0.000)
Cd (0.341, 0.500, 0.735)
Cd (0.659, 0.500, 0.265)
Ir (0.500, 0.000, 0.500)

## Properties
space-group type	No. 10
energy relative to the elements	-82	meV/atom
total energy	-19.57	eV/cell

***

(18)
This record from Alexandria describes a geometry-optimized ZrCd2Ir structure. The functional is PBE.

a b c (Å): 5.877 5.877 5.877
angles (deg): 147.20 133.92 57.71
Element x y z (fractional)
Zr (0.000, 0.000, 0.000)
Cd (0.273, 0.773, 0.500)
Cd (0.727, 0.227, 0.500)
Ir (0.500, 0.500, 0.000)

## Properties
space-group type	No. 71
energy relative to the elements	-133	meV/atom
total energy	-19.77	eV/cell

***

(19)
This record from Alexandria describes a geometry-optimized ZrCdIr2 structure. The functional is PBE.

a b c (Å): 3.331 3.358 6.285
angles (deg): 90.00 90.00 90.00
Element x y z (fractional)
Zr (0.000, 0.000, 0.000)
Cd (0.000, 0.000, 0.500)
Ir (0.500, 0.500, 0.241)
Ir (0.500, 0.500, 0.759)

## Properties
space-group type	No. 47
energy relative to the elements	-452	meV/atom
total energy	-28.99	eV/cell

***

(20)
This record from Alexandria describes a geometry-optimized ZrCd3Ir structure. The functional is PBE.

a b c (Å): 5.395 5.395 5.395
angles (deg): 90.00 90.00 90.00
Element x y z (fractional)
Zr (0.000, 0.000, 0.000)
Cd (0.000, 0.000, 0.500)
Cd (0.000, 0.500, 0.000)
Cd (0.500, 0.000, 0.000)
Ir (0.500, 0.500, 0.500)

## Properties
polymorph energy (0 for the lowest one)	1132.9	meV per atom
space-group type	No. 221
energy relative to the elements	1822	meV/atom
total energy	-11.04	eV/cell